The following is a GGA-PBEsol calculation of a relaxed NaSbTe2 crystal, from the Alexandria database.

Cell: 4.3517 4.3517 7.9454 Å, 74.11 74.11 60.00°
Closest atoms and distances in Å follow each position.
Fractional coordinates of all 4 atoms:
Sb: 0.5000 0.5000 0.5000  6 Te 3.06
Te: 0.7562 0.7562 0.7313  3 Sb 3.06, 3 Na 3.23
Te: 0.2438 0.2438 0.2687  3 Sb 3.06, 3 Na 3.23
Na: 0.0000 0.0000 0.0000  6 Te 3.23

Calculated values
* total DFT energy (no corrections): -3.694 eV/atom
* energy relative to the elements, uncorrected: -0.442 eV per atom
* magnetization: 0.0 μB per cell

The following is a GGA-PBEsol calculation of a relaxed TaCd2Br crystal, from the Alexandria database.

Cell: 3.1087 3.1087 8.7558 Å, 90.00 90.00 103.62°
Closest atoms and distances in Å follow each position.
Fractional coordinates of all 4 atoms:
Cd: 0.0000 0.0000 0.2577  2 Ta 2.86, 2 Br 2.96, 4 Cd 3.11
Cd: 0.0000 0.0000 0.7423  2 Ta 2.86, 2 Br 2.96, 4 Cd 3.11
Br: 0.5000 0.5000 0.0000  4 Cd 2.96, 4 Br 3.11
Ta: 0.5000 0.5000 0.5000  4 Cd 2.86, 4 Ta 3.11

Calculated values
* relative energy among the computed polymorphs: 43 meV per atom
* total DFT energy (no corrections): -3.970 eV/atom
* energy relative to the elements, uncorrected: 0.234 eV per atom
* magnetization: 0.0 μB per cell

The following is a GGA-PBEsol calculation of a relaxed BeZnAg crystal, from the Alexandria database.

Cell: 2.8156 2.8156 5.2268 Å, 105.63 105.63 90.00°
Closest atoms and distances in Å follow each position.
Fractional coordinates of all 3 atoms:
Be: 0.3293 0.3293 0.6585  4 Zn 2.43, 4 Ag 2.50
Zn: 0.6845 0.6845 0.3690  4 Be 2.43
Ag: 0.9862 0.9862 0.9725  4 Be 2.50, 4 Zn 2.76

Calculated values
* relative energy among the computed polymorphs: 0 meV per atom
* total DFT energy (no corrections): -2.901 eV/atom
* magnetization: 0.0 μB per cell

The following is a GGA-PBEsol calculation of a relaxed BaCo2Sb crystal, from the Alexandria database.

Cell: 3.9861 5.3990 5.3990 Å, 68.77 68.34 68.34°
Closest atoms and distances in Å follow each position.
Fractional coordinates of all 4 atoms:
Sb: 0.4226 0.5774 0.5774  3 Co 2.52-2.59
Co: 0.0978 0.9022 0.9022  2 Co 2.25
Co: 0.7292 0.7708 0.7708  2 Co 2.25, 2 Sb 2.52
Ba: 0.2504 0.2496 0.2496  8 Co 3.28-3.65, 4 Sb 3.29-3.34

Calculated values
* total DFT energy (no corrections): -5.186 eV/atom
* energy relative to the elements, uncorrected: 0.359 eV per atom
* magnetization: 2.8 μB per cell

The following is a GGA-PBEsol calculation of a relaxed CuHOF crystal, from the Alexandria database.

Cell: 5.0046 5.2887 6.2883 Å, 90.00 90.00 114.18°
Closest atoms and distances in Å follow each position.
Fractional coordinates of all 16 atoms:
Cu: 0.9906 0.7595 0.6203  3 O 1.94-1.96, 1 F 1.96
Cu: 0.0094 0.7405 0.1203  3 O 1.94-1.96, 1 F 1.96
Cu: 0.0094 0.2405 0.3797  3 O 1.94-1.96, 1 F 1.96
Cu: 0.9906 0.2595 0.8797  3 O 1.94-1.96, 1 F 1.96
H: 0.3988 0.7561 0.8649  1 O 1.03
H: 0.6012 0.7439 0.3649  1 O 1.03
H: 0.6012 0.2439 0.1351  1 O 1.03
H: 0.3988 0.2561 0.6351  1 O 1.03
O: 0.1741 0.1657 0.6393  1 H 1.03
O: 0.8259 0.3343 0.1393  1 H 1.03
O: 0.8259 0.8343 0.3607  1 H 1.03
O: 0.1741 0.6657 0.8607  1 H 1.03
F: 0.7180 0.3681 0.6123  1 H 1.47
F: 0.2820 0.1319 0.1123  1 H 1.47
F: 0.2820 0.6319 0.3877  1 H 1.47
F: 0.7180 0.8681 0.8877  1 H 1.47

Calculated values
* total DFT energy (no corrections): -4.833 eV/atom
* magnetization: 4.0 μB per cell

The following is a GGA-PBEsol calculation of a relaxed YCo2Se crystal, from the Alexandria database.

Cell: 3.4984 4.4516 4.7985 Å, 117.64 111.38 90.00°
Closest atoms and distances in Å follow each position.
Fractional coordinates of all 4 atoms:
Y: 0.0000 0.5000 0.0000  8 Co 2.78-2.81, 4 Se 2.83
Co: 0.7791 0.7791 0.5582  2 Se 2.45
Co: 0.2209 0.2209 0.4418  2 Se 2.45
Se: 0.5000 0.0000 0.0000  4 Co 2.45

Calculated values
* total DFT energy (no corrections): -6.641 eV/atom
* energy relative to the elements, uncorrected: -0.105 eV per atom
* magnetization: 0.0 μB per cell

The following is a GGA-PBEsol calculation of a relaxed Tc2NiCl crystal, from the Alexandria database.

Cell: 4.2388 4.2388 4.2388 Å, 60.00 60.00 60.00°
Closest atoms and distances in Å follow each position.
Fractional coordinates of all 4 atoms:
Cl: 0.5000 0.5000 0.5000  4 Tc 2.60, 4 Ni 2.60
Ni: 0.2500 0.2500 0.2500  4 Cl 2.60, 4 Tc 2.60
Tc: 0.0000 0.0000 0.0000  4 Ni 2.60, 4 Tc 2.60
Tc: 0.7500 0.7500 0.7500  4 Cl 2.60, 4 Tc 2.60

Calculated values
* relative energy among the computed polymorphs: 483 meV per atom
* total DFT energy (no corrections): -6.859 eV/atom
* energy relative to the elements, uncorrected: 0.816 eV per atom
* magnetization: 0.0 μB per cell

The following is a GGA-PBEsol calculation of a relaxed BaSc2As crystal, from the Alexandria database.

Cell: 4.1314 4.3200 6.9767 Å, 90.00 107.09 90.00°
Closest atoms and distances in Å follow each position.
Fractional coordinates of all 4 atoms:
As: 0.6606 0.0000 0.4468  4 Sc 2.65-2.83
Ba: 0.2762 0.5000 0.6800  4 As 3.37, 3 Sc 3.58-3.71
Sc: 0.0164 0.0000 0.1559  2 As 2.83, 4 Sc 3.02
Sc: 0.5469 0.5000 0.2173  2 As 2.65

Calculated values
* total DFT energy (no corrections): -5.601 eV/atom
* magnetization: 0.7 μB per cell

The following is a GGA-PBEsol calculation of a relaxed Sr3ScPb crystal, from the Alexandria database.

Cell: 6.0602 6.0602 6.0602 Å, 90.00 90.00 90.00°
Closest atoms and distances in Å follow each position.
Fractional coordinates of all 5 atoms:
Pb: 0.5000 0.5000 0.5000  12 Sr 4.29
Sr: 0.0000 0.5000 0.0000  2 Sc 3.03
Sr: 0.0000 0.0000 0.5000  2 Sc 3.03
Sr: 0.5000 0.0000 0.0000  2 Sc 3.03
Sc: 0.0000 0.0000 0.0000  6 Sr 3.03

Calculated values
* total DFT energy (no corrections): -2.587 eV/atom
* magnetization: 2.7 μB per cell

The following is a GGA-PBEsol calculation of a relaxed Cs3RuO crystal, from the Alexandria database.

Cell: 5.7494 5.7494 5.7494 Å, 90.00 90.00 90.00°
Closest atoms and distances in Å follow each position.
Fractional coordinates of all 5 atoms:
Cs: 0.0000 0.5000 0.0000  2 O 2.87
Cs: 0.0000 0.0000 0.5000  2 O 2.87
Cs: 0.5000 0.0000 0.0000  2 O 2.87
Ru: 0.5000 0.5000 0.5000  12 Cs 4.07
O: 0.0000 0.0000 0.0000  6 Cs 2.87

Calculated values
* total DFT energy (no corrections): -3.161 eV/atom
* energy relative to the elements, uncorrected: 0.489 eV per atom
* magnetization: 3.0 μB per cell

The following is a GGA-PBEsol calculation of a relaxed Sc2BeMo crystal, from the Alexandria database.

Cell: 2.9407 3.5145 6.4459 Å, 90.00 90.00 90.00°
Closest atoms and distances in Å follow each position.
Fractional coordinates of all 4 atoms:
Sc: 0.0000 0.0000 0.7606  4 Be 2.76, 4 Mo 2.84, 3 Sc 2.94-3.09
Sc: 0.0000 0.0000 0.2394  4 Be 2.76, 4 Mo 2.84, 3 Sc 2.94-3.09
Be: 0.5000 0.5000 0.0000  8 Sc 2.76, 2 Be 2.94
Mo: 0.5000 0.5000 0.5000  8 Sc 2.84, 2 Mo 2.94

Calculated values
* total DFT energy (no corrections): -7.089 eV/atom
* magnetization: 0.0 μB per cell

The following is a GGA-PBEsol calculation of a relaxed La2P4O13 crystal, from the Alexandria database.

Cell: 7.0024 6.9967 13.3297 Å, 103.47 90.00 120.03°
Closest atoms and distances in Å follow each position.
Fractional coordinates of all 38 atoms:
La: 0.3173 0.6254 0.4497  6 O 2.33-2.58
La: 0.6919 0.3746 0.0503  6 O 2.33-2.58
La: 0.3081 0.6254 0.9497  6 O 2.33-2.58
La: 0.6827 0.3746 0.5503  6 O 2.33-2.58
P: 0.1640 0.0163 0.3625  4 O 1.49-1.61
P: 0.8524 0.0163 0.8625  4 O 1.49-1.61
P: 0.7790 0.5331 0.3405  4 O 1.50-1.61
P: 0.2459 0.4669 0.1595  4 O 1.50-1.61
P: 0.7541 0.5331 0.8405  4 O 1.50-1.61
P: 0.2210 0.4669 0.6595  4 O 1.50-1.61
P: 0.1476 0.9837 0.1375  4 O 1.49-1.61
P: 0.8360 0.9837 0.6375  4 O 1.49-1.61
O: 0.3230 0.9993 0.4331  1 P 1.52
O: 0.1347 0.2178 0.3956  1 P 1.49
O: 0.6763 0.9993 0.9331  1 P 1.52
O: 0.1199 0.1996 0.1566  2 P 1.58-1.61
O: 0.9230 0.4826 0.4038  1 P 1.53
O: 0.5873 0.5074 0.4026  1 P 1.53
O: 0.7081 0.3990 0.2279  1 P 1.50
O: 0.0831 0.2178 0.8956  1 P 1.49
O: 0.0797 0.1996 0.6566  2 P 1.58-1.61
O: 0.3091 0.6010 0.2721  1 P 1.50
O: 0.0799 0.4926 0.0974  1 P 1.53
O: 0.4404 0.5174 0.0962  1 P 1.53
O: 0.5596 0.4826 0.9038  1 P 1.53
O: 0.9201 0.5074 0.9026  1 P 1.53
O: 0.6909 0.3990 0.7279  1 P 1.50
O: 0.9203 0.8004 0.3434  2 P 1.58-1.61
O: 0.9169 0.7822 0.1044  1 P 1.49
O: 0.2919 0.6010 0.7721  1 P 1.50
O: 0.4127 0.4926 0.5974  1 P 1.53
O: 0.0770 0.5174 0.5962  1 P 1.53
O: 0.2470 0.0000 0.2500  2 P 1.61
O: 0.8801 0.8004 0.8434  2 P 1.58-1.61
O: 0.3237 0.0007 0.0669  1 P 1.52
O: 0.8653 0.7822 0.6044  1 P 1.49
O: 0.7530 0.0000 0.7500  2 P 1.61
O: 0.6770 0.0007 0.5669  1 P 1.52

Calculated values
* relative energy among the computed polymorphs: 0 meV per atom
* total DFT energy (no corrections): -8.076 eV/atom
* energy relative to the elements, uncorrected: -2.703 eV per atom
* magnetization: 0.0 μB per cell

Q: What is the total DFT energy (no corrections) in the third record?
A: -2.901 eV/atom

Q: Look up the total DFT energy (no corrections) of the first one.
A: -3.694 eV/atom

Q: What is the formula in the tenth record?
A: Cs3RuO